Entry 1:
Density functional theory data (PBEsol) for an optimized crystal structure of Dy3Co2Ge4.

Cell and atoms, written as POSCAR:
```
Dy3Co2Ge4
1.0
5.246 -2.045 0.000
5.246 2.045 0.000
-2.376 0.000 7.528
Dy Co Ge
3 2 4
direct
0.000 0.000 0.000 Dy
0.377 0.377 0.307 Dy
0.623 0.623 0.693 Dy
0.307 0.307 0.626 Co
0.693 0.693 0.374 Co
0.097 0.097 0.399 Ge
0.291 0.291 0.919 Ge
0.709 0.709 0.081 Ge
0.903 0.903 0.601 Ge
```

Summary:
Magnetic moment: 0.0 μB per cell
Energy of formation from the pure elements: -786 meV/atom
Energy: -6.360 eV/atom
Symmetry: C2/m
Calculated volume: 17.9 A^3/atom


Entry 2:
Density functional theory data (PBEsol) for an optimized crystal structure of Al3FeAu.

Cell and atoms, written as POSCAR:
```
Al3FeAu
1.0
4.743 0.000 0.000
0.000 4.743 0.000
0.000 0.000 4.743
Al Fe Au
3 1 1
direct
0.000 0.000 0.500 Al
0.000 0.500 0.000 Al
0.500 0.000 0.000 Al
0.500 0.500 0.500 Fe
0.000 0.000 0.000 Au
```

Summary:
Magnetic moment: 2.9 μB per cell
Energy of formation from the pure elements: 777 meV/atom
Energy: -4.256 eV/atom
Symmetry: Pm-3m
Calculated volume: 21.3 A^3/atom


Entry 3:
Density functional theory data (PBEsol) for an optimized crystal structure of Cr2RhW.

Cell and atoms, written as POSCAR:
```
Cr2RhW
1.0
-1.593 2.050 4.024
1.593 -2.050 4.024
1.593 2.050 -4.024
Cr Rh W
2 1 1
direct
0.238 0.238 0.000 Cr
0.762 0.762 0.000 Cr
0.500 0.000 0.500 Rh
0.000 0.500 0.500 W
```

Summary:
Magnetic moment: 0.0 μB per cell
Offset from the most stable computed form: 0.0 meV per atom
Energy of formation from the pure elements: 201 meV/atom
Energy: -10.407 eV/atom
Symmetry: Immm
Calculated volume: 13.1 A^3/atom


Entry 4:
Density functional theory data (PBEsol) for an optimized crystal structure of RbMgAs2Br.

Cell and atoms, written as POSCAR:
```
RbMgAs2Br
1.0
5.638 0.000 0.000
0.000 5.638 0.000
0.000 0.000 5.835
Rb Mg As Br
1 1 2 1
direct
0.000 0.000 0.000 Rb
0.500 0.500 0.500 Mg
0.000 0.500 0.000 As
0.500 0.000 0.000 As
0.000 0.000 0.500 Br
```

Summary:
Magnetic moment: 1.5 μB per cell
Energy: -1.959 eV/atom
Symmetry: P4/mmm
Formation energy from raw total energies: 1.01 eV per atom
Calculated volume: 37.1 A^3/atom